(1)
Density functional theory data (SCAN) for a crystal of BaLi3Rh relaxed with PBEsol.

The structure in CIF format:
```
data_BaLi3Rh
_symmetry_space_group_name_H-M 'P m -3 m'
_symmetry_Int_Tables_number 221
_symmetry_space_group_name_Hall '-P 4 2 3'
_cell_length_a 4.871
_cell_length_b 4.871
_cell_length_c 4.871
_cell_angle_alpha 90.00
_cell_angle_beta 90.00
_cell_angle_gamma 90.00
loop_
_atom_site_label
_atom_site_fract_x
_atom_site_fract_y
_atom_site_fract_z
Ba1 0.000 0.000 0.000
Li1 0.000 0.500 0.500
Rh1 0.500 0.500 0.500
```

Output
**Energy of formation from the pure elements**: 2.7 kJ per mole of atoms
**V**: 115.6 Å³/cell
**Total DFT energy (no corrections)**: -16.071 eV per atom

(2)
Density functional theory data (SCAN) for a crystal of Ba3LiRh relaxed with PBEsol.

The structure in CIF format:
```
data_Ba3LiRh
_symmetry_space_group_name_H-M 'P m -3 m'
_symmetry_Int_Tables_number 221
_symmetry_space_group_name_Hall '-P 4 2 3'
_cell_length_a 6.002
_cell_length_b 6.002
_cell_length_c 6.002
_cell_angle_alpha 90.00
_cell_angle_beta 90.00
_cell_angle_gamma 90.00
loop_
_atom_site_label
_atom_site_fract_x
_atom_site_fract_y
_atom_site_fract_z
Ba1 0.000 0.000 0.500
Li1 0.500 0.500 0.500
Rh1 0.000 0.000 0.000
```

Output
**Energy of formation from the pure elements**: -9.6 kJ per mole of atoms
**V**: 216.2 Å³/cell
**Total DFT energy (no corrections)**: -31.061 eV per atom

(3)
Density functional theory data (SCAN) for a crystal of BaLiRh2 relaxed with PBEsol.

The structure in CIF format:
```
data_BaLiRh2
_symmetry_space_group_name_H-M 'F -4 3 m'
_symmetry_Int_Tables_number 216
_symmetry_space_group_name_Hall 'F -4 2 3'
_cell_length_a 6.685
_cell_length_b 6.685
_cell_length_c 6.685
_cell_angle_alpha 90.00
_cell_angle_beta 90.00
_cell_angle_gamma 90.00
loop_
_atom_site_label
_atom_site_fract_x
_atom_site_fract_y
_atom_site_fract_z
Ba1 0.000 0.000 0.000
Li1 0.250 0.250 0.750
Rh1 0.000 0.000 0.500
Rh2 0.250 0.250 0.250
```

Output
**Energy of formation from the pure elements**: 29.6 kJ per mole of atoms
**V**: 298.8 Å³/cell
**Total DFT energy (no corrections)**: -27.064 eV per atom

(4)
Density functional theory data (SCAN) for a crystal of BaLi2Rh relaxed with PBEsol.

The structure in CIF format:
```
data_BaLi2Rh
_symmetry_space_group_name_H-M 'C 1 2/m 1'
_symmetry_Int_Tables_number 12
_symmetry_space_group_name_Hall '-C 2y'
_cell_length_a 8.554
_cell_length_b 4.011
_cell_length_c 5.352
_cell_angle_alpha 90.00
_cell_angle_beta 107.24
_cell_angle_gamma 90.00
loop_
_atom_site_label
_atom_site_fract_x
_atom_site_fract_y
_atom_site_fract_z
Ba1 0.000 0.000 0.000
Li1 0.196 0.000 0.598
Rh1 0.000 0.500 0.500
```

Output
**Energy of formation from the pure elements**: -3.4 kJ per mole of atoms
**V**: 175.4 Å³/cell
**Total DFT energy (no corrections)**: -19.560 eV per atom

(5)
Density functional theory data (SCAN) for a crystal of Ba2LiRu relaxed with PBEsol.

The structure in CIF format:
```
data_Ba2LiRu
_symmetry_space_group_name_H-M 'P 4/m m m'
_symmetry_Int_Tables_number 123
_symmetry_space_group_name_Hall '-P 4 2'
_cell_length_a 5.401
_cell_length_b 5.401
_cell_length_c 3.858
_cell_angle_alpha 90.00
_cell_angle_beta 90.00
_cell_angle_gamma 90.00
loop_
_atom_site_label
_atom_site_fract_x
_atom_site_fract_y
_atom_site_fract_z
Ba1 0.000 0.500 0.000
Li1 0.000 0.000 0.500
Ru1 0.500 0.500 0.500
```

Output
**Energy of formation from the pure elements**: 53.9 kJ per mole of atoms
**V**: 112.5 Å³/cell
**Total DFT energy (no corrections)**: -28.521 eV per atom

(6)
Density functional theory data (SCAN) for a crystal of BaLiRu2 relaxed with PBEsol.

The structure in CIF format:
```
data_BaLiRu2
_symmetry_space_group_name_H-M 'P 1 m 1'
_symmetry_Int_Tables_number 6
_symmetry_space_group_name_Hall 'P -2y'
_cell_length_a 2.943
_cell_length_b 3.603
_cell_length_c 7.750
_cell_angle_alpha 90.00
_cell_angle_beta 90.14
_cell_angle_gamma 90.00
loop_
_atom_site_label
_atom_site_fract_x
_atom_site_fract_y
_atom_site_fract_z
Ba1 0.000 0.000 0.000
Li1 0.496 0.500 0.362
Ru1 0.498 0.500 0.691
Ru2 0.997 0.000 0.568
```

Output
**Energy of formation from the pure elements**: 44.7 kJ per mole of atoms
**V**: 82.2 Å³/cell
**Total DFT energy (no corrections)**: -27.435 eV per atom

(7)
Density functional theory data (SCAN) for a crystal of Ba2LiRu relaxed with PBEsol.

The structure in CIF format:
```
data_Ba2LiRu
_symmetry_space_group_name_H-M 'I m m 2'
_symmetry_Int_Tables_number 44
_symmetry_space_group_name_Hall 'I 2 -2'
_cell_length_a 3.614
_cell_length_b 5.491
_cell_length_c 12.180
_cell_angle_alpha 90.00
_cell_angle_beta 90.00
_cell_angle_gamma 90.00
loop_
_atom_site_label
_atom_site_fract_x
_atom_site_fract_y
_atom_site_fract_z
Ba1 0.000 0.000 0.000
Ba2 0.000 0.500 0.196
Li1 0.000 0.000 0.351
Ru1 0.000 0.500 0.689
```

Output
**Energy of formation from the pure elements**: 41.2 kJ per mole of atoms
**V**: 241.7 Å³/cell
**Total DFT energy (no corrections)**: -28.652 eV per atom

(8)
Density functional theory data (SCAN) for a crystal of BaLiRu2 relaxed with PBEsol.

The structure in CIF format:
```
data_BaLiRu2
_symmetry_space_group_name_H-M 'R 3 m'
_symmetry_Int_Tables_number 160
_symmetry_space_group_name_Hall 'R 3 -2"'
_cell_length_a 4.1862
_cell_length_b 4.1862
_cell_length_c 17.4568
_cell_angle_alpha 90.00
_cell_angle_beta 90.00
_cell_angle_gamma 120.00
loop_
_atom_site_label
_atom_site_fract_x
_atom_site_fract_y
_atom_site_fract_z
Ba1 0.0000 0.0000 0.0000
Li1 0.0000 0.0000 0.2011
Ru1 0.0000 0.0000 0.4802
Ru2 0.0000 0.0000 0.8009
```

Output
**Energy of formation from the pure elements**: 19.6 kJ per mole of atoms
**V**: 264.9 Å³/cell
**Total DFT energy (no corrections)**: -27.695 eV per atom

(9)
Density functional theory data (SCAN) for a crystal of BaLiRu2 relaxed with PBEsol.

The structure in CIF format:
```
data_BaLiRu2
_symmetry_space_group_name_H-M 'P 1 2/m 1'
_symmetry_Int_Tables_number 10
_symmetry_space_group_name_Hall '-P 2y'
_cell_length_a 4.122
_cell_length_b 4.562
_cell_length_c 4.620
_cell_angle_alpha 90.00
_cell_angle_beta 104.65
_cell_angle_gamma 90.00
loop_
_atom_site_label
_atom_site_fract_x
_atom_site_fract_y
_atom_site_fract_z
Ba1 0.000 0.000 0.000
Li1 0.500 0.000 0.500
Ru1 0.289 0.500 0.623
```

Output
**Energy of formation from the pure elements**: 52.7 kJ per mole of atoms
**V**: 84.1 Å³/cell
**Total DFT energy (no corrections)**: -27.352 eV per atom

(10)
Density functional theory data (SCAN) for a crystal of Ba2LiRu relaxed with PBEsol.

The structure in CIF format:
```
data_Ba2LiRu
_symmetry_space_group_name_H-M 'R -3 m'
_symmetry_Int_Tables_number 166
_symmetry_space_group_name_Hall '-R 3 2"'
_cell_length_a 3.9768
_cell_length_b 3.9768
_cell_length_c 30.7032
_cell_angle_alpha 90.00
_cell_angle_beta 90.00
_cell_angle_gamma 120.00
loop_
_atom_site_label
_atom_site_fract_x
_atom_site_fract_y
_atom_site_fract_z
Ba1 0.0000 0.0000 0.2305
Li1 0.0000 0.0000 0.0000
Ru1 0.0000 0.0000 0.5000
```

Output
**Energy of formation from the pure elements**: 53.7 kJ per mole of atoms
**V**: 420.5 Å³/cell
**Total DFT energy (no corrections)**: -28.522 eV per atom

(11)
Density functional theory data (SCAN) for a crystal of Ba2LiRu relaxed with PBEsol.

The structure in CIF format:
```
data_Ba2LiRu
_symmetry_space_group_name_H-M 'I -4 m 2'
_symmetry_Int_Tables_number 119
_symmetry_space_group_name_Hall 'I -4 -2'
_cell_length_a 4.819
_cell_length_b 4.819
_cell_length_c 9.093
_cell_angle_alpha 90.00
_cell_angle_beta 90.00
_cell_angle_gamma 90.00
loop_
_atom_site_label
_atom_site_fract_x
_atom_site_fract_y
_atom_site_fract_z
Ba1 0.000 0.000 0.000
Ba2 0.000 0.500 0.250
Li1 0.000 0.000 0.500
Ru1 0.000 0.500 0.750
```

Output
**Energy of formation from the pure elements**: 58.3 kJ per mole of atoms
**V**: 211.2 Å³/cell
**Total DFT energy (no corrections)**: -28.475 eV per atom

(12)
Density functional theory data (SCAN) for a crystal of Ba4LiRu relaxed with PBEsol.

The structure in CIF format:
```
data_Ba4LiRu
_symmetry_space_group_name_H-M 'F -4 3 m'
_symmetry_Int_Tables_number 216
_symmetry_space_group_name_Hall 'F -4 2 3'
_cell_length_a 9.681
_cell_length_b 9.681
_cell_length_c 9.681
_cell_angle_alpha 90.00
_cell_angle_beta 90.00
_cell_angle_gamma 90.00
loop_
_atom_site_label
_atom_site_fract_x
_atom_site_fract_y
_atom_site_fract_z
Ba1 0.124 0.124 0.376
Li1 0.000 0.000 0.000
Ru1 0.250 0.250 0.750
```

Output
**Energy of formation from the pure elements**: 97.8 kJ per mole of atoms
**V**: 907.3 Å³/cell
**Total DFT energy (no corrections)**: -31.556 eV per atom

(13)
Density functional theory data (SCAN) for a crystal of Ba2LiS2 relaxed with PBEsol.

The structure in CIF format:
```
data_Ba2LiS2
_symmetry_space_group_name_H-M 'I 4/m m m'
_symmetry_Int_Tables_number 139
_symmetry_space_group_name_Hall '-I 4 2'
_cell_length_a 5.741
_cell_length_b 5.741
_cell_length_c 12.239
_cell_angle_alpha 90.00
_cell_angle_beta 90.00
_cell_angle_gamma 90.00
loop_
_atom_site_label
_atom_site_fract_x
_atom_site_fract_y
_atom_site_fract_z
Ba1 0.000 0.000 0.177
Li1 0.000 0.000 0.500
S1 0.000 0.500 0.250
```

Output
**V**: 403.3 Å³/cell
**Total DFT energy (no corrections)**: -21.443 eV per atom
**Uncorrected formation energy**: -1.293 eV per atom

(14)
Density functional theory data (SCAN) for a crystal of BaLiSe2S relaxed with PBEsol.

The structure in CIF format:
```
data_BaLiSe2S
_symmetry_space_group_name_H-M 'P 4/m m m'
_symmetry_Int_Tables_number 123
_symmetry_space_group_name_Hall '-P 4 2'
_cell_length_a 5.716
_cell_length_b 5.716
_cell_length_c 14.690
_cell_angle_alpha 90.00
_cell_angle_beta 90.00
_cell_angle_gamma 90.00
loop_
_atom_site_label
_atom_site_fract_x
_atom_site_fract_y
_atom_site_fract_z
Ba1 0.000 0.000 0.000
Li1 0.000 0.000 0.500
Se1 0.000 0.500 0.000
S1 0.500 0.500 0.500
```

Output
**V**: 479.9 Å³/cell
**Total DFT energy (no corrections)**: -18.066 eV per atom
**Uncorrected formation energy**: 0.279 eV per atom

(15)
Density functional theory data (SCAN) for a crystal of BaLi2Sb relaxed with PBEsol.

The structure in CIF format:
```
data_BaLi2Sb
_symmetry_space_group_name_H-M 'F m m m'
_symmetry_Int_Tables_number 69
_symmetry_space_group_name_Hall '-F 2 2'
_cell_length_a 6.717
_cell_length_b 6.976
_cell_length_c 10.451
_cell_angle_alpha 90.00
_cell_angle_beta 90.00
_cell_angle_gamma 90.00
loop_
_atom_site_label
_atom_site_fract_x
_atom_site_fract_y
_atom_site_fract_z
Ba1 0.000 0.000 0.000
Li1 0.000 0.250 0.250
Sb1 0.000 0.000 0.500
```

Output
**V**: 489.7 Å³/cell
**Total DFT energy (no corrections)**: -20.682 eV per atom
**Uncorrected formation energy**: -0.285 eV per atom

(16)
Density functional theory data (SCAN) for a crystal of Ba2Li2Sb relaxed with PBEsol.

The structure in CIF format:
```
data_Ba2Li2Sb
_symmetry_space_group_name_H-M 'P 4/m b m'
_symmetry_Int_Tables_number 127
_symmetry_space_group_name_Hall '-P 4 2ab'
_cell_length_a 7.579
_cell_length_b 7.579
_cell_length_c 5.261
_cell_angle_alpha 90.00
_cell_angle_beta 90.00
_cell_angle_gamma 90.00
loop_
_atom_site_label
_atom_site_fract_x
_atom_site_fract_y
_atom_site_fract_z
Ba1 0.195 0.305 0.000
Li1 0.130 0.630 0.500
Sb1 0.000 0.000 0.500
```

Output
**V**: 302.1 Å³/cell
**Total DFT energy (no corrections)**: -24.662 eV per atom
**Uncorrected formation energy**: -0.434 eV per atom

(17)
Density functional theory data (SCAN) for a crystal of BaLi2Sb relaxed with PBEsol.

The structure in CIF format:
```
data_BaLi2Sb
_symmetry_space_group_name_H-M 'R -3 m'
_symmetry_Int_Tables_number 166
_symmetry_space_group_name_Hall '-R 3 2"'
_cell_length_a 4.6362
_cell_length_b 4.6362
_cell_length_c 16.9616
_cell_angle_alpha 90.00
_cell_angle_beta 90.00
_cell_angle_gamma 120.00
loop_
_atom_site_label
_atom_site_fract_x
_atom_site_fract_y
_atom_site_fract_z
Ba1 0.0000 0.0000 0.0000
Li1 0.0000 0.0000 0.2007
Sb1 0.0000 0.0000 0.5000
```

Output
**V**: 315.8 Å³/cell
**Total DFT energy (no corrections)**: -21.073 eV per atom
**Uncorrected formation energy**: -0.675 eV per atom

(18)
Density functional theory data (SCAN) for a crystal of BaLi2Sb relaxed with PBEsol.

The structure in CIF format:
```
data_BaLi2Sb
_symmetry_space_group_name_H-M 'R 3 m'
_symmetry_Int_Tables_number 160
_symmetry_space_group_name_Hall 'R 3 -2"'
_cell_length_a 4.7256
_cell_length_b 4.7256
_cell_length_c 17.9120
_cell_angle_alpha 90.00
_cell_angle_beta 90.00
_cell_angle_gamma 120.00
loop_
_atom_site_label
_atom_site_fract_x
_atom_site_fract_y
_atom_site_fract_z
Ba1 0.0000 0.0000 0.0000
Li1 0.0000 0.0000 0.1884
Li2 0.0000 0.0000 0.4829
Sb1 0.0000 0.0000 0.7992
```

Output
**V**: 346.4 Å³/cell
**Total DFT energy (no corrections)**: -21.110 eV per atom
**Uncorrected formation energy**: -0.712 eV per atom

(19)
Density functional theory data (SCAN) for a crystal of BaLi2Sb relaxed with PBEsol.

The structure in CIF format:
```
data_BaLi2Sb
_symmetry_space_group_name_H-M 'P 1 m 1'
_symmetry_Int_Tables_number 6
_symmetry_space_group_name_Hall 'P -2y'
_cell_length_a 4.604
_cell_length_b 4.667
_cell_length_c 6.275
_cell_angle_alpha 90.00
_cell_angle_beta 111.29
_cell_angle_gamma 90.00
loop_
_atom_site_label
_atom_site_fract_x
_atom_site_fract_y
_atom_site_fract_z
Ba1 0.000 0.000 0.000
Li1 0.289 0.000 0.572
Li2 0.753 0.500 0.503
Sb1 0.394 0.500 0.788
```

Output
**V**: 125.6 Å³/cell
**Total DFT energy (no corrections)**: -21.000 eV per atom
**Uncorrected formation energy**: -0.603 eV per atom

(20)
Density functional theory data (SCAN) for a crystal of BaLiSb2 relaxed with PBEsol.

The structure in CIF format:
```
data_BaLiSb2
_symmetry_space_group_name_H-M 'I m m 2'
_symmetry_Int_Tables_number 44
_symmetry_space_group_name_Hall 'I 2 -2'
_cell_length_a 4.112
_cell_length_b 5.299
_cell_length_c 11.150
_cell_angle_alpha 90.00
_cell_angle_beta 90.00
_cell_angle_gamma 90.00
loop_
_atom_site_label
_atom_site_fract_x
_atom_site_fract_y
_atom_site_fract_z
Ba1 0.000 0.000 0.000
Li1 0.000 0.500 0.775
Sb1 0.000 0.000 0.530
Sb2 0.000 0.500 0.232
```

Output
**V**: 242.9 Å³/cell
**Total DFT energy (no corrections)**: -29.635 eV per atom
**Uncorrected formation energy**: -0.519 eV per atom